MgP2Pd6: relaxed, PBE.

Output
Energy of formation   -0.474 eV/atom
Magnetic moment   0.0000 μB/atom

Cell: 4.465 4.978 7.222 Å, 84.10 71.99 63.35°
Atoms (fractional coordinates):
1 Mg 0.500 0.500 0.500
2 P 0.909 0.408 0.774
3 P 0.091 0.592 0.226
4 Pd 0.387 0.307 0.920
5 Pd 0.613 0.693 0.080
6 Pd 0.854 0.100 0.191
7 Pd 0.194 0.178 0.433
8 Pd 0.146 0.900 0.809
9 Pd 0.806 0.822 0.567